Entry from Alexandria: a geometry-optimized CuSi2 structure (PBE).

abc: 2.4945 3.4837 20.2067
angles: 90.00 90.00 90.00
Closest atoms and distances in Å follow each position.
Space group Imma (No. 74)
Inequivalent atoms, fractional coordinates:
1 Cu 0.0000 0.2500 0.1265 x4  2 Cu 2.49, 8 Si 2.53-2.67
2 Si 0.0000 0.2500 0.5479 x4  4 Si 2.49-2.60, 4 Cu 2.67
3 Si 0.0000 0.2500 0.6932 x4  4 Si 2.49-2.61, 4 Cu 2.53

- Raw formation energy: 26.1 kJ/mol of atoms
- DOS at the Fermi energy: 4.61 states/eV/cell

---

Entry from Alexandria: a geometry-optimized Sr2BrCl structure (PBE).

abc: 3.9382 3.9382 7.8718
angles: 90.00 90.00 90.00
Closest atoms and distances in Å follow each position.
Space group P4/mmm (No. 123)
Inequivalent atoms, fractional coordinates:
1 Sr 0.0000 0.0000 0.2460 x2  4 Cl 3.39, 4 Br 3.43
2 Br 0.5000 0.5000 0.5000 x1  8 Sr 3.43
3 Cl 0.5000 0.5000 0.0000 x1  8 Sr 3.39

- E above lowest polymorph: 399 meV per atom
- Raw formation energy: -116.1 kJ/mol of atoms
- DOS at the Fermi energy: 3.32 states/eV/cell

---

Entry from Alexandria: a geometry-optimized Cs2USi6O15 structure (PBE).

abc: 7.4037 16.6555 13.6083
angles: 90.00 90.00 90.00
Closest atoms and distances in Å follow each position.
Space group Cmc2_1 (No. 36)
Inequivalent atoms, fractional coordinates:
1 Cs 0.0000 0.1112 0.0000 x4  7 O 3.29-3.56
2 Cs 0.0000 0.2285 0.3050 x4  5 O 3.22-3.42
3 U 0.0000 0.3706 0.6507 x4  6 O 2.22-2.28
4 Si 0.0000 0.3578 0.9235 x4  4 O 1.60-1.64
5 Si 0.0000 0.4552 0.3998 x4  4 O 1.61-1.65
6 Si 0.2052 0.1870 0.5784 x8  4 O 1.61-1.65
7 Si 0.2171 0.0426 0.7255 x8  4 O 1.61-1.65
8 O 0.0000 0.0479 0.7505 x4  2 Si 1.65
9 O 0.0000 0.1629 0.5426 x4  2 Si 1.65
10 O 0.0000 0.3364 0.8087 x4  1 Si 1.60
11 O 0.0000 0.3896 0.4864 x4  1 Si 1.61
12 O 0.0000 0.4542 0.9458 x4  2 Si 1.63
13 O 0.1778 0.3174 0.9761 x8  2 Si 1.64
14 O 0.1829 0.4428 0.3323 x8  2 Si 1.65
15 O 0.2173 0.2759 0.6250 x8  1 Si 1.61
16 O 0.2246 0.3801 0.1575 x8  2 Si 1.64
17 O 0.2275 0.4587 0.6750 x8  1 Si 1.61

- Raw formation energy: -268.9 kJ/mol of atoms
- DOS at the Fermi energy: 25.63 states/eV/cell

---

Entry from Alexandria: a geometry-optimized PmNd5Pt2 structure (PBE).

abc: 4.9754 12.6106 15.5300
angles: 90.00 90.00 90.00
Closest atoms and distances in Å follow each position.
Space group Cmcm (No. 63)
Inequivalent atoms, fractional coordinates:
1 Pm 0.0000 0.1529 0.2500 x4  4 Pt 3.25, 4 Nd 3.56-3.58
2 Nd 0.0000 0.1426 0.7500 x4  2 Pt 2.89
3 Nd 0.0000 0.1481 0.0206 x8  3 Pt 2.94-2.98
4 Nd 0.0000 0.4644 0.1198 x8  1 Pt 2.90
5 Pt 0.0000 0.3055 0.6191 x8  5 Nd 2.89-2.98

- Energy of formation from the pure elements: -0.5455 eV per atom
- DOS at the Fermi energy: 33.12 states/eV/cell

---

Entry from Alexandria: a geometry-optimized InGaF3 structure (PBE).

abc: 5.5320 4.2319 6.9910
angles: 90.00 91.42 90.00
Closest atoms and distances in Å follow each position.
Space group P2_1/m (No. 11)
Inequivalent atoms, fractional coordinates:
1 In 0.2150 0.2500 0.2982 x2  4 F 2.20-2.36
2 Ga 0.2451 0.2500 0.7123 x2  2 F 1.91-2.00
3 F 0.2063 0.2500 0.9829 x2  1 Ga 1.91
4 F 0.3587 0.7500 0.7110 x2  2 Ga 2.21, 1 In 2.36
5 F 0.3940 0.7500 0.2661 x2  1 Ga 2.00

- Raw formation energy: -189.2 kJ/mol of atoms
- DOS at the Fermi energy: 0.59 states/eV/cell

---

Entry from Alexandria: a geometry-optimized Er8Co2Sn structure (PBE).

abc: 8.5726 12.9786 5.2575
angles: 90.00 103.59 90.00
Closest atoms and distances in Å follow each position.
Space group C2/m (No. 12)
Inequivalent atoms, fractional coordinates:
1 Er 0.0000 0.2498 0.0000 x4  2 Co 2.73
2 Er 0.1103 0.0000 0.7995 x4  2 Co 2.98, 4 Er 3.15-3.30, 1 Sn 3.26
3 Er 0.2001 0.3689 0.5745 x8  2 Co 2.80-2.84
4 Co 0.0000 0.1918 0.5000 x4  8 Er 2.73-2.98
5 Sn 0.0000 0.5000 0.0000 x2  12 Er 3.25-3.56

- Energy of formation from the pure elements: -0.2013 eV per atom
- DOS at the Fermi energy: 25.02 states/eV/cell

---

Entry from Alexandria: a geometry-optimized BH4 structure (PBE).

abc: 2.8311 2.8311 2.8311
angles: 90.00 90.00 90.00
Closest atoms and distances in Å follow each position.
Space group Pm-3m (No. 221)
Inequivalent atoms, fractional coordinates:
1 B 0.0000 0.0000 0.0000 x1  6 H 1.42
2 H 0.0000 0.0000 0.5000 x3  2 B 1.42
3 H 0.5000 0.5000 0.5000 x1  12 H 2.00

- E above lowest polymorph: 669 meV per atom
- DOS at the Fermi energy: 1.32 states/eV/cell

---

Entry from Alexandria: a geometry-optimized MgBiSeBr2 structure (PBE).

abc: 5.0285 5.0285 5.4294
angles: 90.00 90.00 90.00
Closest atoms and distances in Å follow each position.
Space group P4/mmm (No. 123)
Inequivalent atoms, fractional coordinates:
1 Mg 0.0000 0.0000 0.0000 x1  4 Br 2.51, 2 Se 2.71
2 Bi 0.5000 0.5000 0.5000 x1  4 Se 3.56, 8 Br 3.70
3 Se 0.0000 0.0000 0.5000 x1  2 Mg 2.71
4 Br 0.0000 0.5000 0.0000 x2  2 Mg 2.51

- E above lowest polymorph: 0 meV per atom
- Raw formation energy: -46.1 kJ/mol of atoms
- DOS at the Fermi energy: 2.63 states/eV/cell

---

Entry from Alexandria: a geometry-optimized Al2RuAu2 structure (PBE).

abc: 6.8217 6.8217 3.4563
angles: 90.00 90.00 90.00
Closest atoms and distances in Å follow each position.
Space group P4/mbm (No. 127)
Inequivalent atoms, fractional coordinates:
1 Al 0.1488 0.3512 0.0000 x4  6 Au 2.57-2.69, 2 Ru 2.60, 1 Al 2.87
2 Ru 0.0000 0.0000 0.0000 x2  4 Al 2.60
3 Au 0.1535 0.6535 0.5000 x4  6 Al 2.57-2.69

- Energy of formation from the pure elements: -0.1503 eV per atom
- DOS at the Fermi energy: 4.89 states/eV/cell

---

Entry from Alexandria: a geometry-optimized CaCr2W structure (PBE).

abc: 3.1533 3.1533 7.4824
angles: 90.00 90.00 90.00
Closest atoms and distances in Å follow each position.
Space group P4/mmm (No. 123)
Inequivalent atoms, fractional coordinates:
1 Ca 0.0000 0.0000 0.0000 x1  4 Ca 3.15, 8 Cr 3.24
2 Cr 0.5000 0.5000 0.3150 x2  4 W 2.62, 1 Cr 2.77
3 W 0.0000 0.0000 0.5000 x1  8 Cr 2.62

- Energy of formation from the pure elements: 0.5425 eV per atom
- E above lowest polymorph: 0 meV per atom
- DOS at the Fermi energy: 4.18 states/eV/cell

---

Entry from Alexandria: a geometry-optimized LiErBe17 structure (PBE).

abc: 7.5750 7.5750 11.0453
angles: 90.00 90.00 120.00
Closest atoms and distances in Å follow each position.
Space group R3m (No. 160, hexagonal axes)
Inequivalent atoms, fractional coordinates:
1 Li 0.0000 0.0000 0.0000 x3  19 Be 2.68-2.98
2 Er 0.0000 0.0000 0.3172 x3  19 Be 2.72-2.87
3 Be 0.0000 0.0000 0.5633 x3  7 Be 2.14-2.35
4 Be 0.0000 0.0000 0.7569 x3  7 Be 2.14-2.36
5 Be 0.9996 0.4998 0.8193 x9  9 Be 2.16-2.39
6 Be 0.0033 0.2889 0.6600 x18  8 Be 2.14-2.39
7 Be 0.0091 0.5045 0.1563 x9  10 Be 2.15-2.36
8 Be 0.0111 0.5056 0.5042 x9  9 Be 2.19-2.36

- Energy of formation from the pure elements: -0.0429 eV per atom
- DOS at the Fermi energy: 6.28 states/eV/cell

---

Entry from Alexandria: a geometry-optimized DyCoGe2Ru structure (PBE).

abc: 4.0980 4.0980 10.0910
angles: 90.00 90.00 90.00
Closest atoms and distances in Å follow each position.
Space group I-4m2 (No. 119)
Inequivalent atoms, fractional coordinates:
1 Dy 0.0000 0.0000 0.0000 x2  8 Ge 3.17, 4 Co 3.25, 4 Ru 3.25
2 Co 0.0000 0.5000 0.2500 x2  4 Ge 2.39
3 Ge 0.0000 0.0000 0.3729 x4  2 Co 2.39, 2 Ru 2.39, 1 Ge 2.57
4 Ru 0.0000 0.5000 0.7500 x2  4 Ge 2.39

- Energy of formation from the pure elements: -0.6215 eV per atom
- DOS at the Fermi energy: 5.06 states/eV/cell

---

Entry from Alexandria: a geometry-optimized DyScAlHg structure (PBE).

abc: 7.1523 7.1523 7.1523
angles: 90.00 90.00 90.00
Closest atoms and distances in Å follow each position.
Space group F-43m (No. 216)
Inequivalent atoms, fractional coordinates:
1 Dy 0.0000 0.0000 0.0000 x4  4 Al 3.10, 4 Hg 3.10
2 Sc 0.0000 0.0000 0.5000 x4  4 Hg 3.10, 4 Al 3.10
3 Al 0.2500 0.2500 0.7500 x4  4 Dy 3.10, 4 Sc 3.10
4 Hg 0.2500 0.2500 0.2500 x4  4 Dy 3.10, 4 Sc 3.10

- Energy of formation from the pure elements: -0.3878 eV per atom
- DOS at the Fermi energy: 17.21 states/eV/cell

---

Entry from Alexandria: a geometry-optimized H2Cl2F structure (PBE).

abc: 5.3290 2.7021 6.4752
angles: 90.00 101.22 90.00
Closest atoms and distances in Å follow each position.
Space group Pm (No. 6)
Inequivalent atoms, fractional coordinates:
1 H 0.0000 0.0000 0.0000 x1  1 F 0.98
2 H 0.2782 0.5000 0.7598 x1  1 Cl 1.32
3 Cl 0.4475 0.5000 0.6358 x1  1 H 1.32
4 Cl 0.8132 0.0000 0.2270 x1  1 H 1.93
5 F 0.0897 0.0000 0.8816 x1  1 H 0.98

- DOS at the Fermi energy: 0.87 states/eV/cell
- Final energy: -3.140 eV per atom

---

Entry from Alexandria: a geometry-optimized Ba2Sr6IrPd structure (PBE).

abc: 12.1759 12.1921 8.6089
angles: 90.00 134.88 90.00
Closest atoms and distances in Å follow each position.
Space group Cm (No. 8)
Inequivalent atoms, fractional coordinates:
1 Ba 0.0000 0.2501 0.0000 x4  12 Sr 4.30-4.32
2 Sr 0.9996 0.2445 0.4992 x4  1 Ir 2.98, 1 Pd 3.11
3 Sr 0.2443 0.0000 0.4990 x2  1 Ir 2.98, 1 Pd 3.11
4 Sr 0.2436 0.0000 0.9872 x2  1 Ir 2.98, 1 Pd 3.12
5 Sr 0.2547 0.5000 0.0092 x2  1 Ir 2.98, 1 Pd 3.12
6 Sr 0.2550 0.5000 0.4994 x2  1 Ir 2.98, 1 Pd 3.11
7 Ir 0.4991 0.5000 0.4980 x2  6 Sr 2.98
8 Pd 0.4990 0.0000 0.4979 x2  6 Sr 3.11-3.12

- Energy of formation from the pure elements: -0.1969 eV per atom
- DOS at the Fermi energy: 18.52 states/eV/cell

---

Entry from Alexandria: a geometry-optimized Sr2CeHgSe5 structure (PBE).

abc: 4.2871 18.4166 13.0905
angles: 90.00 90.00 90.00
Closest atoms and distances in Å follow each position.
Space group Cmc2_1 (No. 36)
Inequivalent atoms, fractional coordinates:
1 Sr 0.0000 0.1097 0.0000 x4  6 Se 3.18-3.39
2 Sr 0.0000 0.1249 0.6337 x4  8 Se 3.17-3.46
3 Ce 0.0000 0.2084 0.3333 x4  6 Se 2.82-2.91
4 Hg 0.0000 0.4553 0.7677 x4  3 Se 2.57-2.66
5 Se 0.0000 0.0561 0.3875 x4  2 Hg 2.66, 1 Ce 2.89
6 Se 0.0000 0.2867 0.9813 x4  2 Ce 2.89
7 Se 0.0000 0.3020 0.6839 x4  2 Ce 2.91, 1 Hg 3.03
8 Se 0.0000 0.3612 0.3220 x4  1 Ce 2.82
9 Se 0.0000 0.4965 0.0831 x4  1 Hg 2.57

- Raw formation energy: -142.9 kJ/mol of atoms

---

Entry from Alexandria: a geometry-optimized RbNaPb structure (PBE).

abc: 9.6139 5.5408 10.5939
angles: 90.00 90.28 90.00
Closest atoms and distances in Å follow each position.
Space group C2/m (No. 12)
Inequivalent atoms, fractional coordinates:
1 Rb 0.1655 0.0000 0.1664 x4  3 Pb 3.80, 1 Na 4.10
2 Na 0.1671 0.0000 0.5532 x4  3 Pb 3.33, 3 Na 3.39-3.40
3 Pb 0.0009 0.5000 0.6400 x4  1 Pb 2.97

- Energy of formation from the pure elements: -0.1316 eV per atom
- E above lowest polymorph: 0 meV per atom
- DOS at the Fermi energy: 2.21 states/eV/cell

---

Entry from Alexandria: a geometry-optimized KTmCd4 structure (PBE).

abc: 8.5655 8.5655 8.5655
angles: 90.00 90.00 90.00
Closest atoms and distances in Å follow each position.
Space group F-43m (No. 216)
Inequivalent atoms, fractional coordinates:
1 K 0.0000 0.0000 0.0000 x4  12 Cd 3.55, 4 Tm 3.71
2 Tm 0.2500 0.2500 0.2500 x4  12 Cd 3.55, 4 K 3.71
3 Cd 0.1246 0.1246 0.6246 x16  6 Cd 3.02-3.04

- Energy of formation from the pure elements: -0.0297 eV per atom
- DOS at the Fermi energy: 15.83 states/eV/cell

---

Entry from Alexandria: a geometry-optimized RbNiMo2Se8 structure (PBE).

abc: 6.3103 6.3103 29.9194
angles: 90.00 90.00 120.00
Closest atoms and distances in Å follow each position.
Space group R-3 (No. 148, hexagonal axes)
Inequivalent atoms, fractional coordinates:
1 Rb 0.0000 0.0000 0.0000 x3  12 Se 3.67-4.10
2 Ni 0.0000 0.0000 0.5000 x3  6 Se 2.47
3 Mo 0.0000 0.0000 0.2404 x6  4 Se 2.32-2.35
4 Se 0.0000 0.0000 0.3178 x6  1 Mo 2.32
5 Se 0.0110 0.3593 0.2154 x18  1 Mo 2.35, 1 Ni 2.47

- Raw formation energy: -29.2 kJ/mol of atoms
- DOS at the Fermi energy: 20.28 states/eV/cell

---

Entry from Alexandria: a geometry-optimized ZrCrRe2 structure (PBE).

abc: 2.8308 2.8308 27.7060
angles: 90.00 90.00 120.00
Closest atoms and distances in Å follow each position.
Space group R3m (No. 160, hexagonal axes)
Inequivalent atoms, fractional coordinates:
1 Zr 0.0000 0.0000 0.0000 x3  6 Zr 2.83, 3 Cr 2.93, 3 Re 3.06
2 Cr 0.0000 0.0000 0.2456 x3  3 Re 2.63, 6 Cr 2.83, 3 Zr 2.93
3 Re 0.0000 0.0000 0.5048 x3  3 Cr 2.63, 9 Re 2.71-2.83
4 Re 0.0000 0.0000 0.7601 x3  9 Re 2.71-2.83

- Energy of formation from the pure elements: 0.3349 eV per atom
- E above lowest polymorph: 355 meV per atom
- DOS at the Fermi energy: 10.56 states/eV/cell